1.
CrSbI2Cl at its PBEsol-relaxed geometry. Source: Alexandria via LeMat-Bulk, functional meta-GGA SCAN.

Calculated values
* density of states at the Fermi level: 4.240 states/eV/f.u.
* E_form (uncorrected): 0.247 eV per atom
* V: 35.86 A^3/atom

Geometry as POSCAR:
```
CrSbI2Cl
1.0
5.7635 0.0000 0.0000
0.0000 5.7635 0.0000
0.0000 0.0000 5.3977
Cr Sb I Cl
1 1 2 1
Cartesian
0.0000 0.0000 0.0000
0.0000 0.0000 2.6988
0.0000 2.8817 2.6988
2.8817 0.0000 2.6988
2.8817 2.8817 0.0000
```



2.
CrTe2ICl at its PBEsol-relaxed geometry. Source: Alexandria via LeMat-Bulk, functional meta-GGA SCAN.

Calculated values
* density of states at the Fermi level: 5.311 states/eV/f.u.
* E_form (uncorrected): 0.124 eV per atom
* V: 26.98 A^3/atom

Geometry as POSCAR:
```
CrTe2ICl
1.0
5.0385 0.0000 0.0000
0.0000 5.0385 0.0000
0.0000 0.0000 5.3140
Cr Te I Cl
1 2 1 1
Cartesian
0.0000 0.0000 0.0000
0.0000 2.5192 0.0000
2.5192 0.0000 0.0000
0.0000 0.0000 2.6570
2.5192 2.5192 2.6570
```